# NbMo2BrF

An optimized crystal structure of NbMo2BrF (GGA+U, Alexandria via LeMat-Bulk).

The value obtained for the energy is -4.83 eV/atom. As for the density of states at the Fermi level: 0.874 states/eV/atom. For the total moment, the calculation gives 6.1 μB per formula unit. The calculated volume is 23.15 A^3/atom.

The structure belongs to space group P4/mmm (No. 123); the cell edges are 5.285, 5.285 and 4.144 Å and the angles 90.00°, 90.00° and 90.00°. Symmetry generates all atoms from Nb at (0.000, 0.000, 0.000), Mo at (0.000, 0.500, 0.500), Br at (0.500, 0.500, 0.000) and F at (0.000, 0.000, 0.500).

=====

# MoBrO2F

An optimized crystal structure of MoBrO2F (GGA+U, Alexandria via LeMat-Bulk).

The value obtained for the energy is -3.87 eV/atom. As for the density of states at the Fermi level: 0.530 states/eV/atom. For the total moment, the calculation gives 4.4 μB per formula unit. The calculated volume is 16.19 A^3/atom.

The structure belongs to space group P4/mmm (No. 123); the cell edges are 3.838, 3.838 and 5.497 Å and the angles 90.00°, 90.00° and 90.00°. Symmetry generates all atoms from Mo at (0.000, 0.000, 0.000), Br at (0.500, 0.500, 0.500), O at (0.000, 0.500, 0.500) and F at (0.500, 0.500, 0.000).

=====

# MoBrO2F

An optimized crystal structure of MoBrO2F (GGA+U, Alexandria via LeMat-Bulk).

The value obtained for the energy is -4.93 eV/atom. As for the density of states at the Fermi level: 1.135 states/eV/atom. For the total moment, the calculation gives 0.9 μB per formula unit. The calculated volume is 13.53 A^3/atom.

The structure belongs to space group P4/mmm (No. 123); the cell edges are 3.938, 3.938 and 4.362 Å and the angles 90.00°, 90.00° and 90.00°. Symmetry generates all atoms from Mo at (0.000, 0.000, 0.000), Br at (0.500, 0.500, 0.500), O at (0.000, 0.500, 0.000) and F at (0.000, 0.000, 0.500).

=====

# MoP2BrF

An optimized crystal structure of MoP2BrF (GGA+U, Alexandria via LeMat-Bulk).

The value obtained for the energy is -3.10 eV/atom. As for the density of states at the Fermi level: 0.739 states/eV/atom. For the total moment, the calculation gives 0.0 μB per formula unit. The calculated volume is 18.26 A^3/atom.

The structure belongs to space group P4/mmm (No. 123); the cell edges are 4.536, 4.536 and 4.437 Å and the angles 90.00°, 90.00° and 90.00°. Symmetry generates all atoms from Mo at (0.000, 0.000, 0.000), P at (0.000, 0.500, 0.500), Br at (0.500, 0.500, 0.000) and F at (0.000, 0.000, 0.500).

=====

# Rb2MoBr2F4

An optimized crystal structure of Rb2MoBr2F4 (GGA+U, Alexandria via LeMat-Bulk).

The value obtained for the energy is -4.42 eV/atom. As for the density of states at the Fermi level: 0.000 states/eV/atom. For the total moment, the calculation gives 2.0 μB per formula unit. The calculated volume is 25.76 A^3/atom.

The structure belongs to space group I4/mmm (No. 139); the cell edges are 7.045, 7.045 and 9.344 Å and the angles 90.00°, 90.00° and 90.00°. Symmetry generates all atoms from Rb at (0.000, 0.500, 0.250), Mo at (0.000, 0.000, 0.000), Br at (0.000, 0.000, 0.280) and F at (0.199, 0.199, 0.000).

=====

# Rb2MoBr6F

An optimized crystal structure of Rb2MoBr6F (GGA+U, Alexandria via LeMat-Bulk).

The value obtained for the energy is -3.07 eV/atom. As for the density of states at the Fermi level: 0.560 states/eV/atom. For the total moment, the calculation gives 2.0 μB per formula unit. The calculated volume is 32.82 A^3/atom.

The structure belongs to space group I4/mmm (No. 139); the cell edges are 8.157, 8.157 and 9.865 Å and the angles 90.00°, 90.00° and 90.00°. Symmetry generates all atoms from Rb at (0.000, 0.500, 0.250), Mo at (0.000, 0.000, 0.000), Br at (0.000, 0.000, 0.261), Br at (0.225, 0.225, 0.000) and F at (0.000, 0.000, 0.500).